# 1
Below is a relaxed DyHoEr2P4 crystal, with properties calculated at the PBE level.

Cell lengths 3.9837, 6.8972, 6.8969 Å; angles 109.47, 90.00, 90.00 degrees
Positions (direct):
Dy 0.0000 0.0000 0.0000
P 0.5000 0.7488 0.7481
P 0.0000 0.7500 0.2517
P 0.0000 0.2500 0.7483
P 0.5000 0.2512 0.2519
Er 0.0000 0.5000 0.5000
Er 0.5000 0.0000 0.5000
Ho 0.5000 0.5000 0.0000

Output
Space-group type: P2/m (10)
Formation energy from the elements: -1.61 eV per atom



# 2
Below is a relaxed Rb2PrO3 crystal, with properties calculated at the PBE level.

Cell lengths 6.5708, 7.4358, 11.4455 Å; angles 90.00, 90.00, 90.00 degrees
Positions (direct):
O 0.5108 0.7792 0.3805
O 0.4892 0.2208 0.6195
O 0.5108 0.7792 0.1195
O 0.1149 0.8632 0.7500
O 0.0107 0.7208 0.3805
O 0.4892 0.2208 0.8805
O 0.9892 0.2792 0.8805
O 0.0107 0.7208 0.1195
O 0.9892 0.2792 0.6195
O 0.6149 0.6368 0.7500
O 0.3851 0.3632 0.2500
O 0.8851 0.1368 0.2500
Rb 0.7593 0.8880 0.9158
Rb 0.7407 0.3880 0.4158
Rb 0.2593 0.6120 0.9158
Rb 0.2593 0.6120 0.5842
Rb 0.7407 0.3880 0.0842
Rb 0.2407 0.1120 0.0842
Rb 0.2407 0.1120 0.4158
Rb 0.7593 0.8880 0.5842
Pr 0.2217 0.1466 0.7500
Pr 0.7217 0.3534 0.7500
Pr 0.2783 0.6466 0.2500
Pr 0.7783 0.8534 0.2500

Output
Space-group type: Pnma (62)
Raw formation energy: -1841 meV per atom



# 3
Below is a relaxed LiIn2Os crystal, with properties calculated at the PBE level.

Cell lengths 5.3040, 5.3040, 4.4887 Å; angles 71.43, 71.43, 36.51 degrees
Positions (direct):
In 0.2488 0.2488 0.2850
In 0.0144 0.0144 0.9403
Li 0.4853 0.4853 0.4902
Os 0.7515 0.7515 0.7845

Output
Space-group type: Cm (8)
Formation energy from the elements: 0.14 eV per atom



# 4
Below is a relaxed CaMgCd3 crystal, with properties calculated at the PBE level.

Cell lengths 6.9257, 5.9207, 6.0967 Å; angles 90.00, 90.00, 91.03 degrees
Positions (direct):
Cd 0.6734 0.3511 0.5044
Cd 0.0437 0.3511 0.2500
Cd 0.3266 0.6489 0.4956
Cd 0.9563 0.6489 0.7500
Cd 0.6734 0.3511 0.9956
Cd 0.3266 0.6489 0.0044
Mg 0.6152 0.9175 0.7500
Mg 0.3848 0.0825 0.2500
Ca 0.8465 0.8486 0.2500
Ca 0.1535 0.1514 0.7500

Output
Space-group type: P2_1/m (11)
Formation energy from the elements: -0.20 eV per atom
Energy above the most stable polymorph in this dataset: 0.000 eV/atom